The following is a PBE calculation of PrGeBi2 after structural relaxation, from Alexandria via LeMat-Bulk.

a = 5.1107 Å, b = 4.7247 Å, c = 4.7247 Å
α = 90.00°, β = 90.00°, γ = 90.00°
Last column: nearest neighbours and their distance in Å.
Element x y z (fractional)
Pr  0.5000  0.5000  0.5000  4 Ge 3.34, 8 Bi 3.48
Bi  0.0000  0.0000  0.5000  4 Bi 3.34, 4 Ge 3.48, 4 Pr 3.48
Bi  0.0000  0.5000  0.0000  4 Bi 3.34, 4 Ge 3.48, 4 Pr 3.48
Ge  0.5000  0.0000  0.0000  4 Pr 3.34, 8 Bi 3.48

Values from the calculation:
Polymorph energy (0 for the lowest one): 0.000 eV/atom
Calculated density: 9.2 Mg/m³
DFT total energy: -4.66 eV per atom



The following is a PBE calculation of Li2PbF after structural relaxation, from Alexandria via LeMat-Bulk.

a = 3.0162 Å, b = 3.0162 Å, c = 7.3866 Å
α = 90.00°, β = 90.00°, γ = 90.00°
Last column: nearest neighbours and their distance in Å.
Element x y z (fractional)
Li  0.0000  0.0000  0.1746  4 F 2.49, 1 Li 2.58
Li  0.0000  0.0000  0.8254  4 F 2.49, 1 Li 2.58
Pb  0.5000  0.5000  0.5000  4 Pb 3.02, 8 Li 3.21
F  0.5000  0.5000  0.0000  8 Li 2.49

Values from the calculation:
Polymorph energy (0 for the lowest one): 0.231 eV/atom
E_form (uncorrected): -477 kJ/mol of formula units
Calculated density: 5.9 Mg/m³
DFT total energy: -3.59 eV per atom



The following is a PBE calculation of CdPBr2 after structural relaxation, from Alexandria via LeMat-Bulk.

a = 3.6015 Å, b = 6.4563 Å, c = 4.2958 Å
α = 90.00°, β = 90.00°, γ = 90.00°
Last column: nearest neighbours and their distance in Å.
Element x y z (fractional)
P  0.0000  0.5000  0.5000  4 Br 2.80
Br  0.0000  0.0000  0.0000  4 Cd 2.80
Br  0.5000  0.5000  0.0000  4 P 2.80
Cd  0.5000  0.0000  0.5000  4 Br 2.80

Values from the calculation:
Polymorph energy (0 for the lowest one): 0.480 eV/atom
E_form (uncorrected): 100 kJ/mol of formula units
Calculated density: 5.0 Mg/m³
DFT total energy: -2.16 eV per atom



The following is a PBE calculation of La3Mg3Cd8 after structural relaxation, from Alexandria via LeMat-Bulk.

a = 5.0047 Å, b = 9.1489 Å, c = 9.1489 Å
α = 64.99°, β = 74.13°, γ = 74.13°
Last column: nearest neighbours and their distance in Å.
Element x y z (fractional)
Cd  0.3611  0.9258  0.3521  3 Cd 2.89-3.06, 1 Mg 2.92
Cd  0.1573  0.4848  0.2006  4 Cd 2.79-3.06, 1 Mg 2.89
Cd  0.8427  0.5152  0.7994  4 Cd 2.79-3.06, 1 Mg 2.89
Cd  0.1573  0.2006  0.4848  4 Cd 2.79-3.06, 1 Mg 2.89
Cd  0.6389  0.0742  0.6479  3 Cd 2.89-3.06, 1 Mg 2.92
Cd  0.3611  0.3521  0.9258  3 Cd 2.89-3.06, 1 Mg 2.92
Cd  0.8427  0.7994  0.5152  4 Cd 2.79-3.06, 1 Mg 2.89
Cd  0.6389  0.6479  0.0742  3 Cd 2.89-3.06, 1 Mg 2.92
La  0.5000  0.5000  0.5000  12 Cd 3.47-3.67
La  0.2090  0.7910  0.7910  12 Cd 3.42-3.60, 2 Mg 3.52
La  0.7910  0.2090  0.2090  12 Cd 3.42-3.60, 2 Mg 3.52
Mg  0.0000  0.8212  0.1788  6 Cd 2.89-3.24, 2 Mg 3.06
Mg  0.0000  0.1788  0.8212  6 Cd 2.89-3.24, 2 Mg 3.06
Mg  0.5000  0.0000  0.0000  4 Cd 2.92, 4 Mg 3.06

Values from the calculation:
Calculated density: 6.4 Mg/m³
DFT total energy: -2.21 eV per atom



The following is a PBE calculation of B5C7 after structural relaxation, from Alexandria via LeMat-Bulk.

a = 4.4018 Å, b = 4.4018 Å, c = 8.2782 Å
α = 118.92°, β = 118.92°, γ = 33.43°
Last column: nearest neighbours and their distance in Å.
Element x y z (fractional)
C  0.1822  0.1822  0.6897  2 C 1.52, 2 B 1.68
C  0.3438  0.3438  0.6565  4 C 1.52-1.56
C  0.1116  0.1116  0.1990  5 B 1.63-1.74
C  0.5188  0.5188  0.8529  1 C 1.55, 3 B 1.60-1.62
C  0.9988  0.9988  0.5078  4 C 1.52-1.56
C  0.4817  0.4817  0.3962  2 C 1.53, 2 B 1.59-1.64
C  0.8338  0.8338  0.5424  3 C 1.56, 1 B 1.64
B  0.8720  0.8720  0.0740  1 C 1.74, 4 B 1.76-1.84
B  0.3074  0.3074  0.1915  2 C 1.59-1.68
B  0.0106  0.0106  0.9707  3 C 1.62-1.63, 1 B 1.76
B  0.6963  0.6963  0.8296  3 C 1.60-1.68
B  0.6429  0.6429  0.3397  4 C 1.64-1.65

Values from the calculation:
Polymorph energy (0 for the lowest one): 0.085 eV/atom
Calculated density: 3.0 Mg/m³
DFT total energy: -7.82 eV per atom



The following is a PBE calculation of SnP3Pb after structural relaxation, from Alexandria via LeMat-Bulk.

a = 5.0628 Å, b = 5.0628 Å, c = 5.0628 Å
α = 90.00°, β = 90.00°, γ = 90.00°
Last column: nearest neighbours and their distance in Å.
Element x y z (fractional)
Sn  0.0000  0.0000  0.0000  6 P 2.53
Pb  0.5000  0.5000  0.5000  12 P 3.58
P  0.5000  0.0000  0.0000  2 Sn 2.53
P  0.0000  0.0000  0.5000  2 Sn 2.53
P  0.0000  0.5000  0.0000  2 Sn 2.53

Values from the calculation:
Polymorph energy (0 for the lowest one): 0.000 eV/atom
Calculated density: 5.4 Mg/m³
DFT total energy: -3.95 eV per atom